## TiAl2SnO (PBE)

Data for a geometry-optimized TiAl2SnO structure.

```
TiAl2SnO
1.0
4.142 0.000 0.000
0.000 4.526 0.000
0.000 0.000 4.142
Al Sn O Ti
2 1 1 1
Direct
0.000 0.000 0.500
0.500 0.000 0.000
0.500 0.500 0.500
0.000 0.000 0.000
0.000 0.500 0.000
```

Computed properties:
The calculation puts the volume at 77.7 Å³/f.u. The calculation puts the energy relative to the elements, uncorrected at -0.60 eV/atom. The density of states at the Fermi level is 0.72 states/eV/atom. As for the space-group type: P4/mmm.

=====

## UAlSnO6 (PBE)

Data for a geometry-optimized UAlSnO6 structure.

```
UAlSnO6
1.0
5.264 0.000 0.000
-2.632 4.558 0.000
0.000 0.000 9.015
U Al Sn O
2 2 2 12
Direct
0.667 0.333 0.250
0.333 0.667 0.750
0.333 0.667 0.250
0.667 0.333 0.750
0.000 0.000 0.000
0.000 0.000 0.500
0.648 0.678 0.131
0.030 0.352 0.131
0.352 0.030 0.631
0.970 0.648 0.869
0.322 0.352 0.369
0.030 0.678 0.369
0.678 0.030 0.869
0.648 0.970 0.369
0.970 0.322 0.631
0.322 0.970 0.131
0.678 0.648 0.631
0.352 0.322 0.869
```

Computed properties:
The calculation puts the volume at 108.2 Å³/f.u. The calculation puts the energy relative to the elements, uncorrected at -2.48 eV/atom. The density of states at the Fermi level is 0.35 states/eV/atom. As for the space-group type: P-31c.

=====

> energy relative to the elements, uncorrected of number 1 (TiAl2SnO)?

-0.60 eV/atom

=====

> Number 1 is which compound?

TiAl2SnO